Entry 1:
A plane-wave DFT calculation with PBE was carried out for SrW after structural relaxation.

Cell lengths 5.6719, 5.6719, 8.0930 Å; angles 90.00, 90.00, 120.00 degrees
Fractional coordinates of all 8 atoms:
Sr (0.0000, 0.0000, 0.2500)
Sr (0.0000, 0.0000, 0.7500)
Sr (0.3333, 0.6667, 0.7500)
Sr (0.6667, 0.3333, 0.2500)
W (0.3333, 0.6667, 0.1121)
W (0.6667, 0.3333, 0.6121)
W (0.6667, 0.3333, 0.8879)
W (0.3333, 0.6667, 0.3879)

As for the total moment: 0.0 μB per formula unit. As for the polymorph energy (0 for the lowest one): 777 meV/atom. The energy of formation from the pure elements comes out at 1.30 eV/atom. Its raw total energy is -6.016 eV/atom.

Entry 2:
A plane-wave DFT calculation with PBE was carried out for Sr3W after structural relaxation.

Cell lengths 7.6416, 7.6416, 5.7312 Å; angles 90.00, 90.00, 120.00 degrees
Fractional coordinates of all 8 atoms:
Sr (0.8205, 0.6411, 0.2500)
Sr (0.3589, 0.1795, 0.2500)
Sr (0.8205, 0.1795, 0.2500)
Sr (0.1795, 0.3589, 0.7500)
Sr (0.6411, 0.8205, 0.7500)
Sr (0.1795, 0.8205, 0.7500)
W (0.3333, 0.6667, 0.2500)
W (0.6667, 0.3333, 0.7500)

As for the total moment: 2.7 μB per formula unit. As for the polymorph energy (0 for the lowest one): 547 meV/atom. The energy of formation from the pure elements comes out at 1.06 eV/atom. Its raw total energy is -3.439 eV/atom.

Entry 3:
A plane-wave DFT calculation with PBE was carried out for Sr3W after structural relaxation.

Cell lengths 9.0221, 9.0221, 3.9627 Å; angles 90.00, 90.00, 91.15 degrees
Fractional coordinates of all 8 atoms:
Sr (0.8484, 0.1516, 0.7500)
Sr (0.1516, 0.8484, 0.2500)
Sr (0.8206, 0.5802, 0.7500)
Sr (0.1794, 0.4198, 0.2500)
Sr (0.4198, 0.1794, 0.7500)
Sr (0.5802, 0.8206, 0.2500)
W (0.5603, 0.4397, 0.2500)
W (0.4397, 0.5603, 0.7500)

As for the total moment: 0.0 μB per formula unit. As for the polymorph energy (0 for the lowest one): 0 meV/atom. The energy of formation from the pure elements comes out at 0.51 eV/atom. Its raw total energy is -3.986 eV/atom.

Entry 4:
A plane-wave DFT calculation with PBE was carried out for SrW3 after structural relaxation.

Cell lengths 2.7201, 4.5896, 6.6946 Å; angles 90.00, 90.00, 90.00 degrees
Fractional coordinates of all 4 atoms:
Sr (0.0000, 0.0000, 0.0326)
W (0.5000, 0.0000, 0.5321)
W (0.5000, 0.5000, 0.7361)
W (0.0000, 0.5000, 0.3660)

As for the total moment: 0.0 μB per formula unit. As for the polymorph energy (0 for the lowest one): 323 meV/atom. The energy of formation from the pure elements comes out at 1.09 eV/atom. Its raw total energy is -9.041 eV/atom.

Entry 5:
A plane-wave DFT calculation with PBE was carried out for Sr3W after structural relaxation.

Cell lengths 12.2445, 12.2445, 12.2445 Å; angles 17.85, 17.85, 17.85 degrees
Fractional coordinates of all 4 atoms:
Sr (0.2688, 0.2688, 0.2688)
Sr (0.5000, 0.5000, 0.5000)
Sr (0.7312, 0.7312, 0.7312)
W (0.0000, 0.0000, 0.0000)

As for the total moment: 1.8 μB per formula unit. As for the polymorph energy (0 for the lowest one): 565 meV/atom. The energy of formation from the pure elements comes out at 1.08 eV/atom. Its raw total energy is -3.421 eV/atom.

Entry 6:
A plane-wave DFT calculation with PBE was carried out for SrW3 after structural relaxation.

Cell lengths 4.3203, 2.9061, 7.0992 Å; angles 78.77, 90.00, 90.00 degrees
Fractional coordinates of all 4 atoms:
Sr (0.0000, 0.0000, 0.0000)
W (0.5000, 0.7746, 0.6657)
W (0.0000, 0.5000, 0.5000)
W (0.5000, 0.2254, 0.3343)

As for the total moment: 0.0 μB per formula unit. As for the polymorph energy (0 for the lowest one): 85 meV/atom. The energy of formation from the pure elements comes out at 0.86 eV/atom. Its raw total energy is -9.278 eV/atom.

Entry 7:
A plane-wave DFT calculation with PBE was carried out for SrW2 after structural relaxation.

Cell lengths 4.6154, 4.6154, 4.6154 Å; angles 60.00, 60.00, 60.00 degrees
Fractional coordinates of all 3 atoms:
Sr (0.0000, 0.0000, 0.0000)
W (0.2500, 0.2500, 0.2500)
W (0.7500, 0.7500, 0.7500)

As for the total moment: 0.0 μB per formula unit. The energy of formation from the pure elements comes out at 3.22 eV/atom. Its raw total energy is -5.981 eV/atom.

Entry 8:
A plane-wave DFT calculation with PBE was carried out for SrW after structural relaxation.

Cell lengths 9.4497, 7.4470, 6.5430 Å; angles 90.00, 90.00, 90.00 degrees
Fractional coordinates of all 16 atoms:
Sr (0.7065, 0.4762, 0.2500)
Sr (0.7065, 0.5238, 0.7500)
Sr (0.2935, 0.4762, 0.2500)
Sr (0.2935, 0.5238, 0.7500)
Sr (0.2065, 0.9762, 0.2500)
Sr (0.2065, 0.0238, 0.7500)
Sr (0.7935, 0.9762, 0.2500)
Sr (0.7935, 0.0238, 0.7500)
W (0.0000, 0.6532, 0.4446)
W (0.0000, 0.3468, 0.5554)
W (0.0000, 0.6532, 0.0554)
W (0.0000, 0.3468, 0.9446)
W (0.5000, 0.1532, 0.4446)
W (0.5000, 0.8468, 0.5554)
W (0.5000, 0.1532, 0.0554)
W (0.5000, 0.8468, 0.9446)

As for the total moment: 0.0 μB per formula unit. As for the polymorph energy (0 for the lowest one): 571 meV/atom. The energy of formation from the pure elements comes out at 1.10 eV/atom. Its raw total energy is -6.222 eV/atom.

Entry 9:
A plane-wave DFT calculation with PBE was carried out for SrW after structural relaxation.

Cell lengths 5.8984, 5.8984, 5.8984 Å; angles 30.00, 30.00, 30.00 degrees
Fractional coordinates of all 2 atoms:
Sr (0.0000, 0.0000, 0.0000)
W (0.5000, 0.5000, 0.5000)

As for the total moment: 0.0 μB per formula unit. As for the polymorph energy (0 for the lowest one): 1006 meV/atom. The energy of formation from the pure elements comes out at 1.53 eV/atom. Its raw total energy is -5.787 eV/atom.

Entry 10:
A plane-wave DFT calculation with PBE was carried out for Sr4W5 after structural relaxation.

Cell lengths 9.1687, 9.1687, 5.5107 Å; angles 90.00, 90.00, 120.00 degrees
Fractional coordinates of all 18 atoms:
Sr (0.0000, 0.0000, 0.0000)
Sr (0.0000, 0.0000, 0.5000)
Sr (0.0000, 0.2841, 0.2500)
Sr (0.7159, 0.7159, 0.2500)
Sr (0.2841, 0.0000, 0.2500)
Sr (0.0000, 0.7159, 0.7500)
Sr (0.2841, 0.2841, 0.7500)
Sr (0.7159, 0.0000, 0.7500)
W (0.0000, 0.5698, 0.2500)
W (0.4302, 0.4302, 0.2500)
W (0.5698, 0.0000, 0.2500)
W (0.0000, 0.4302, 0.7500)
W (0.5698, 0.5698, 0.7500)
W (0.4302, 0.0000, 0.7500)
W (0.6667, 0.3333, 0.0000)
W (0.3333, 0.6667, 0.5000)
W (0.3333, 0.6667, 0.0000)
W (0.6667, 0.3333, 0.5000)

As for the total moment: 0.0 μB per formula unit. The energy of formation from the pure elements comes out at 1.56 eV/atom. Its raw total energy is -6.385 eV/atom.

Entry 11:
A plane-wave DFT calculation with PBE was carried out for SrW after structural relaxation.

Cell lengths 12.8196, 12.8196, 4.4501 Å; angles 88.37, 88.37, 16.06 degrees
Fractional coordinates of all 6 atoms:
Sr (0.9729, 0.9729, 0.0128)
Sr (0.7343, 0.7343, 0.9656)
Sr (0.6033, 0.6033, 0.4892)
W (0.3567, 0.3567, 0.0047)
W (0.8670, 0.8670, 0.5609)
W (0.2991, 0.2991, 0.4669)

As for the total moment: 0.1 μB per formula unit. As for the polymorph energy (0 for the lowest one): 268 meV/atom. The energy of formation from the pure elements comes out at 0.79 eV/atom. Its raw total energy is -6.526 eV/atom.

Entry 12:
A plane-wave DFT calculation with PBE was carried out for SrW after structural relaxation.

Cell lengths 12.4410, 12.4410, 3.3481 Å; angles 90.00, 90.00, 120.00 degrees
Fractional coordinates of all 12 atoms:
Sr (0.7689, 0.1186, 0.2500)
Sr (0.6503, 0.7689, 0.7500)
Sr (0.8814, 0.6503, 0.2500)
Sr (0.2311, 0.8814, 0.7500)
Sr (0.3497, 0.2311, 0.2500)
Sr (0.1186, 0.3497, 0.7500)
W (0.9325, 0.4271, 0.2500)
W (0.5054, 0.9325, 0.7500)
W (0.5729, 0.5054, 0.2500)
W (0.0675, 0.5729, 0.7500)
W (0.4946, 0.0675, 0.2500)
W (0.4271, 0.4946, 0.7500)

As for the total moment: 0.0 μB per formula unit. As for the polymorph energy (0 for the lowest one): 827 meV/atom. The energy of formation from the pure elements comes out at 1.35 eV/atom. Its raw total energy is -5.967 eV/atom.

Question: Number 11 is which compound?
Answer: SrW

Question: Which formula does entry 3 have?
Answer: Sr3W

Question: What is the raw total energy in the fourth record?
Answer: -9.041 eV/atom

Question: total moment of number 1 (SrW)?
Answer: 0.0 μB per formula unit